Compound: Na2HfZrTe4
Source: Alexandria
Functional: PBE
Structure: relaxed

The volume is 28.23 A^3/atom. As for the calculated total energy: -40.7 eV for the cell shown. For the calculated density, the calculation gives 6.1 g cm⁻³. As for the magnetic moment: 0.0 Bohr magnetons per cell. The density of states at the Fermi level is 4.2 states/eV per cell.

The space group is P2/m (No. 10) and the conventional cell measures 7.0351, 4.0667 and 8.2398 Å, with angles of 90.00, 106.64 and 90.00 degrees. The inequivalent atoms are Na at (0.0000, 0.0000, 0.0000), Na at (0.5000, 0.5000, 0.0000), Hf at (0.0000, 0.5000, 0.5000), Zr at (0.5000, 0.0000, 0.5000), Te at (0.2381, 0.0000, 0.7229) and Te at (0.2552, 0.5000, 0.2749).